BaPm2Cr2N6 | PBE | optimized geometry

E_form (uncorrected) (meV per atom): -808.0

```
data_BaPm2Cr2N6
_chemical_formula_sum 'Ba1 Pm2 Cr2 N6'
_symmetry_space_group_name_H-M 'P -1'
_symmetry_Int_Tables_number 2
_symmetry_space_group_name_Hall '-P 1'
_cell_length_a 6.147
_cell_length_b 6.211
_cell_length_c 6.559
_cell_angle_alpha 91.97
_cell_angle_beta 117.18
_cell_angle_gamma 114.75
loop_
_atom_site_label
_atom_site_type_symbol
_atom_site_fract_x
_atom_site_fract_y
_atom_site_fract_z
Ba1 Ba 0.000 0.000 0.000
Pm1 Pm 0.417 0.300 0.696
Cr1 Cr 0.212 0.669 0.679
N1 N 0.130 0.898 0.686
N2 N 0.226 0.505 0.884
N3 N 0.458 0.703 0.606
```